## K2AlH6 (PBE-GGA)

Data for K2AlH6 after structural relaxation.

Results
M_tot in μB/atom: 0.113
E in eV/atom: -2.837
Space group: P4_2/mnm

abc: 5.189 5.189 10.685
angles: 90.00 90.00 90.00
Site moments in Bohr magnetons follow the coordinates.
Element x y z (fractional)
H1 0.665 0.665 0.617  0.06
H2 0.165 0.835 0.883  0.06
H3 0.235 0.235 0.000  0.10
K1 0.500 0.500 0.833  0.01
H4 0.265 0.735 0.500  0.10
H5 0.335 0.335 0.383  0.06
K2 0.500 0.500 0.167  0.01
Al1 0.000 0.000 0.000  -0.02
H6 0.835 0.165 0.883  0.06
H7 0.665 0.665 0.383  0.06
Al2 0.500 0.500 0.500  -0.02
H8 0.765 0.765 0.000  0.10
H9 0.165 0.835 0.117  0.06
H10 0.835 0.165 0.117  0.06
K3 0.000 0.000 0.667  0.01
H11 0.735 0.265 0.500  0.10
H12 0.335 0.335 0.617  0.06
K4 0.000 0.000 0.333  0.01